(1)
Compound: Pr4Sm3Tm2
Source: the Alexandria database
Functional: PBE-GGA
Structure: relaxed

Summary:
E above lowest polymorph in meV/atom: 0
Density in g cm⁻³: 7.34
Total magnetic moment in μB per formula unit: 0.000
V in Å³ per atom: 34.0
Energy of formation in eV per atom: 0.022

Cell lengths 8.146, 8.146, 8.107 Å; angles 107.50, 107.50, 36.84 degrees
Fractional coordinates of all 9 atoms:
1 Pr 0.054 0.054 0.330
2 Pr 0.277 0.277 0.671
3 Pr 0.723 0.723 0.329
4 Pr 0.946 0.946 0.670
5 Sm 0.388 0.388 0.330
6 Sm 0.500 0.500 0.000
7 Sm 0.612 0.612 0.670
8 Tm 0.168 0.168 0.999
9 Tm 0.832 0.832 0.001


(2)
Compound: Pr4SmTm6
Source: the Alexandria database
Functional: PBE-GGA
Structure: relaxed

Summary:
E above lowest polymorph in meV/atom: 0
Density in g cm⁻³: 7.76
Total magnetic moment in μB per formula unit: 0.000
V in Å³ per atom: 33.6
Energy of formation in eV per atom: 0.158

Cell lengths 11.002, 11.002, 3.526 Å; angles 90.00, 90.00, 120.00 degrees
Fractional coordinates of all 11 atoms:
1 Pr 0.000 0.000 0.000
2 Pr 0.063 0.532 0.500
3 Pr 0.468 0.532 0.500
4 Pr 0.468 0.937 0.500
5 Sm 0.667 0.333 0.000
6 Tm 0.162 0.324 0.000
7 Tm 0.162 0.838 0.000
8 Tm 0.326 0.163 0.500
9 Tm 0.676 0.838 0.000
10 Tm 0.837 0.163 0.500
11 Tm 0.837 0.674 0.500